one:
VASP calculation (PBE) on a geometry-optimized BaTl2F structure. Values from VASP.

Cell and atoms, written as Quantum ESPRESSO input:
```
&SYSTEM
  ibrav = 0, nat = 8, ntyp = 3
/
ATOMIC_SPECIES
Ba 137.33 Ba.upf
Tl 204.38 Tl.upf
F 19.00 F.upf
CELL_PARAMETERS angstrom
-2.104 2.104 14.286
2.104 -2.104 14.286
2.104 2.104 -14.286
ATOMIC_POSITIONS crystal
Ba 0.000 0.000 0.000
Ba 0.750 0.250 0.500
Tl 0.126 0.625 0.001
Tl 0.375 0.376 0.501
Tl 0.624 0.125 0.999
Tl 0.875 0.874 0.499
F 0.250 0.750 0.500
F 0.500 0.500 0.000
```

two:
VASP calculation (PBE) on a geometry-optimized BaTl2F structure. Values from VASP.

Cell and atoms, written as Quantum ESPRESSO input:
```
&SYSTEM
  ibrav = 0, nat = 4, ntyp = 3
/
ATOMIC_SPECIES
Ba 137.33 Ba.upf
Tl 204.38 Tl.upf
F 19.00 F.upf
CELL_PARAMETERS angstrom
0.000 3.941 3.941
3.941 0.000 3.941
3.941 3.941 0.000
ATOMIC_POSITIONS crystal
Ba 0.000 0.000 0.000
Tl 0.250 0.250 0.250
Tl 0.750 0.750 0.750
F 0.500 0.500 0.500
```

Most stable pick: one. Distance to second place: 621 meV/atom.

one:
VASP calculation (PBE) on a geometry-optimized Ba3TlF structure. Values from VASP.

Cell and atoms, written as Quantum ESPRESSO input:
```
&SYSTEM
  ibrav = 0, nat = 5, ntyp = 3
/
ATOMIC_SPECIES
Ba 137.33 Ba.upf
Tl 204.38 Tl.upf
F 19.00 F.upf
CELL_PARAMETERS angstrom
5.638 0.000 0.000
0.000 5.638 0.000
0.000 0.000 5.638
ATOMIC_POSITIONS crystal
Ba 0.000 0.000 0.500
Ba 0.000 0.500 0.000
Ba 0.500 0.000 0.000
Tl 0.500 0.500 0.500
F 0.000 0.000 0.000
```

two:
VASP calculation (PBE) on a geometry-optimized Ba3TlF structure. Values from VASP.

Cell and atoms, written as Quantum ESPRESSO input:
```
&SYSTEM
  ibrav = 0, nat = 10, ntyp = 3
/
ATOMIC_SPECIES
Ba 137.33 Ba.upf
Tl 204.38 Tl.upf
F 19.00 F.upf
CELL_PARAMETERS angstrom
8.878 0.000 0.000
0.000 4.452 0.000
-1.274 0.000 10.712
ATOMIC_POSITIONS crystal
Ba 0.064 0.250 0.342
Ba 0.263 0.250 0.983
Ba 0.388 0.750 0.635
Ba 0.612 0.250 0.365
Ba 0.737 0.750 0.017
Ba 0.936 0.750 0.658
Tl 0.338 0.750 0.236
Tl 0.662 0.250 0.764
F 0.092 0.250 0.589
F 0.908 0.750 0.411
```

Most stable pick: two. Distance to second place: 8 meV/atom.